1.
The following is a PBE calculation of an optimized crystal structure of LaPmNi2, from the Alexandria database.

It has space group P4/mmm (No. 123), with a = 4.982 Å, b = 4.982 Å, c = 3.472 Å, α = 90.00°, β = 90.00° and γ = 90.00°. The inequivalent atoms are La at (0.000, 0.000, 0.000), Pm at (0.500, 0.500, 0.000) and Ni at (0.000, 0.500, 0.500).

As for the calculated formation energy: -1.0 eV per formula unit. The value obtained for the energy above the lowest structure with this stoichiometry is 92 meV/atom.


2.
The following is a PBE calculation of an optimized crystal structure of TbNd3Sm4, from the Alexandria database.

It has space group C2/m (No. 12), with a = 23.754 Å, b = 3.510 Å, c = 6.918 Å, α = 90.00°, β = 106.93° and γ = 90.00°. The inequivalent atoms are Tb at (0.000, 0.000, 0.000), Nd at (0.000, 0.500, 0.500), Nd at (0.125, 0.500, 0.365), Sm at (0.124, 0.500, 0.883) and Sm at (0.242, 0.000, 0.238).

As for the calculated formation energy: 1.2 eV per formula unit. The value obtained for the energy above the lowest structure with this stoichiometry is 123 meV/atom.


3.
The following is a PBE calculation of an optimized crystal structure of Mg13Pb2, from the Alexandria database.

It has space group R-3m (No. 166, hexagonal axes), with a = 7.9992 Å, b = 7.9992 Å, c = 23.5291 Å, α = 90.00°, β = 90.00° and γ = 120.00°. The inequivalent atoms are Mg at (0.0000, 0.0000, 0.0000), Mg at (0.0736, 0.5368, 0.4270), Mg at (0.0817, 0.5408, 0.2955) and Pb at (0.0000, 0.0000, 0.1347).

As for the calculated formation energy: 2.8 eV per formula unit. The value obtained for the energy above the lowest structure with this stoichiometry is 8 meV/atom.


4.
The following is a PBE calculation of an optimized crystal structure of Ac4Ga3Cu, from the Alexandria database.

It has space group Pmm2 (No. 25), with a = 4.407 Å, b = 4.742 Å, c = 11.528 Å, α = 90.00°, β = 90.00° and γ = 90.00°. The inequivalent atoms are Ac at (0.000, 0.000, 0.000), Ac at (0.000, 0.500, 0.486), Ac at (0.500, 0.000, 0.705), Ac at (0.500, 0.500, 0.207), Ga at (0.000, 0.500, 0.781), Ga at (0.500, 0.000, 0.406), Ga at (0.500, 0.500, 0.918) and Cu at (0.000, 0.000, 0.291).

As for the calculated formation energy: -3.2 eV per formula unit.


5.
The following is a PBE calculation of an optimized crystal structure of B3RhC, from the Alexandria database.

It has space group Pm-3m (No. 221), with a = 3.450 Å, b = 3.450 Å, c = 3.450 Å, α = 90.00°, β = 90.00° and γ = 90.00°. The inequivalent atoms are B at (0.000, 0.000, 0.500), Rh at (0.500, 0.500, 0.500) and C at (0.000, 0.000, 0.000).

As for the calculated formation energy: 7.3 eV per formula unit. The value obtained for the energy above the lowest structure with this stoichiometry is 0 meV/atom.


6.
The following is a PBE calculation of an optimized crystal structure of NbTlTeO6, from the Alexandria database.

It has space group Ima2 (No. 46), with a = 7.323 Å, b = 10.353 Å, c = 7.576 Å, α = 90.00°, β = 90.00° and γ = 90.00°. The inequivalent atoms are Nb at (0.250, 0.238, 0.000), Tl at (0.250, 0.625, 0.805), Te at (0.000, 0.000, 0.725), O at (0.055, 0.122, 0.909), O at (0.055, 0.123, 0.541), O at (0.250, 0.181, 0.230) and O at (0.250, 0.573, 0.219).

For the uncorrected formation energy, the calculation gives -14.4 eV/f.u. The value obtained for the energy above the lowest structure with this stoichiometry is 0 meV/atom.


What is the formula in the fourth record?
Ac4Ga3Cu